<i>
A relaxed CuSeSBr2 crystal. Source: Alexandria, functional GGA-PBE. Values from VASP.

Structure (Quantum ESPRESSO input):
```
&SYSTEM
  ibrav = 0, nat = 5, ntyp = 4
/
ATOMIC_SPECIES
Se 78.96 Se.upf
Br 79.90 Br.upf
Cu 63.55 Cu.upf
S 32.06 S.upf
ATOMIC_POSITIONS angstrom
Se -2.454 -0.598 0.144
Br -0.557 1.926 -1.497
Cu -2.767 -0.156 -3.353
S 0.000 0.000 0.000
Br 0.245 -1.483 -2.000
CELL_PARAMETERS angstrom
-1.115 3.852 -2.994
0.489 -2.967 -4.000
-4.908 -1.197 0.287
```

## Properties
N(E_F) ... 4.08 states/eV/f.u.
Theoretical density ... 4.38 Mg/m³
SG ... No. 123
Spin magnetization ... 0.000 μB per formula unit


<ii>
A relaxed CuSeSBr2 crystal. Source: Alexandria, functional GGA-PBE. Values from VASP.

Structure (Quantum ESPRESSO input):
```
&SYSTEM
  ibrav = 0, nat = 5, ntyp = 4
/
ATOMIC_SPECIES
Se 78.96 Se.upf
S 32.06 S.upf
Br 79.90 Br.upf
Cu 63.55 Cu.upf
ATOMIC_POSITIONS angstrom
Se -0.767 -0.135 2.466
S 1.138 -2.897 2.908
Br -0.353 -2.355 -0.239
Br 2.258 -0.407 0.680
Cu 0.000 0.000 0.000
CELL_PARAMETERS angstrom
-0.706 -4.710 -0.477
4.516 -0.814 1.361
-1.535 -0.270 4.932
```

## Properties
N(E_F) ... 3.78 states/eV/f.u.
Theoretical density ... 4.69 Mg/m³
SG ... No. 123
Spin magnetization ... 1.048 μB per formula unit


Relative energies, meV per atom: <i> 55; <ii> 0.